Computed, not measured: a relaxed structure of NdDy2Ga at the PBE level of DFT.

Results
DOS at the Fermi energy in states/eV per atom: 1.117
Calculated volume in Å³/cell: 117.7
Symmetry: R3m
ρ in g/cm3: 7.607
Energy of formation in kJ per mole of atoms: -18.6

Cell lengths 3.6310, 3.6310, 10.5158 Å; angles 80.06, 80.06, 60.00 degrees
With the nearest neighbours (Å) after each atom.
Positions (direct):
Dy 0.0696 0.0696 0.7911  3 Ga 3.01
Ga 0.6663 0.6663 0.0012  6 Dy 2.99-3.01
Nd 0.5003 0.5003 0.4990  6 Nd 3.63, 6 Dy 3.65-3.67
Dy 0.2638 0.2638 0.2087  3 Ga 2.99

---

Computed, not measured: a relaxed structure of Nd2DyGa at the PBE level of DFT.

Results
DOS at the Fermi energy in states/eV per atom: 1.401
Calculated volume in Å³/cell: 127.2
Symmetry: R-3m
ρ in g/cm3: 6.797
Energy of formation in kJ per mole of atoms: 2.7

Cell lengths 3.5658, 3.5658, 11.7348 Å; angles 81.26, 81.26, 60.00 degrees
With the nearest neighbours (Å) after each atom.
Positions (direct):
Nd 0.8987 0.8987 0.3038  3 Ga 3.06
Nd 0.1013 0.1013 0.6962  3 Ga 3.06
Ga 0.5000 0.5000 0.5000  6 Nd 3.06
Dy 0.0000 0.0000 0.0000  2 Nd 3.51, 6 Dy 3.57

---

Computed, not measured: a relaxed structure of NdDy3Ga2 at the PBE level of DFT.

Results
DOS at the Fermi energy in states/eV per atom: 0.864
Calculated volume in Å³/cell: 325.6
Symmetry: C2/m
ρ in g/cm3: 7.867
Energy of formation in kJ per mole of atoms: -32.0

Cell lengths 5.1203, 9.2060, 8.8667 Å; angles 124.20, 90.00, 106.15 degrees
With the nearest neighbours (Å) after each atom.
Positions (direct):
Ga 0.5117 0.0234 0.8736  1 Ga 2.51
Dy 0.3781 0.7562 0.2660  4 Ga 2.86-3.12
Ga 0.7747 0.5493 0.1634  5 Dy 2.96-3.13
Nd 0.1293 0.2587 0.0696  5 Ga 3.11-3.37, 2 Dy 3.46
Ga 0.2253 0.4507 0.8366  5 Dy 2.96-3.13
Dy 0.6879 0.3758 0.3836  2 Ga 2.87-3.11, 2 Dy 3.21
Dy 0.6219 0.2438 0.7340  4 Ga 2.86-3.12
Ga 0.4883 0.9766 0.1264  1 Ga 2.51
Nd 0.8707 0.7413 0.9304  5 Ga 3.11-3.37, 2 Dy 3.46
Dy 0.9366 0.8732 0.5898  3 Ga 3.13-3.28, 3 Dy 3.43-3.47
Dy 0.3121 0.6242 0.6164  2 Ga 2.87-3.11, 2 Dy 3.21
Dy 0.0634 0.1268 0.4102  3 Ga 3.13-3.28, 3 Dy 3.43-3.47

---

Computed, not measured: a relaxed structure of Nd2DyGa3 at the PBE level of DFT.

Results
DOS at the Fermi energy in states/eV per atom: 0.419
Calculated volume in Å³/cell: 293.2
Symmetry: P-3m1
ρ in g/cm3: 7.477
Energy of formation in kJ per mole of atoms: -54.1

Cell lengths 5.1621, 5.1621, 12.7055 Å; angles 90.00, 90.00, 120.00 degrees
With the nearest neighbours (Å) after each atom.
Positions (direct):
Ga 0.3333 0.6667 0.9147  1 Dy 3.15, 7 Nd 3.17-3.25
Nd 0.3333 0.6667 0.1706  8 Ga 3.15-3.25
Nd 0.0000 0.0000 0.0000  8 Ga 3.17-3.22
Ga 0.6667 0.3333 0.5815  4 Dy 3.15-3.17, 4 Nd 3.15
Ga 0.3333 0.6667 0.4185  4 Dy 3.15-3.17, 4 Nd 3.15
Ga 0.0000 0.0000 0.7467  5 Nd 3.13-3.22, 3 Dy 3.15
Ga 0.0000 0.0000 0.2533  5 Nd 3.13-3.22, 3 Dy 3.15
Nd 0.0000 0.0000 0.5000  8 Ga 3.13-3.15
Dy 0.6667 0.3333 0.3336  8 Ga 3.15-3.17
Ga 0.6667 0.3333 0.0853  1 Dy 3.15, 7 Nd 3.17-3.25
Nd 0.6667 0.3333 0.8294  8 Ga 3.15-3.25
Dy 0.3333 0.6667 0.6664  8 Ga 3.15-3.17

---

Computed, not measured: a relaxed structure of NdDy2Ga at the PBE level of DFT.

Results
DOS at the Fermi energy in states/eV per atom: 1.392
Calculated volume in Å³/cell: 120.8
Symmetry: R-3m
ρ in g/cm3: 7.408
Energy of formation in kJ per mole of atoms: -3.1

Cell lengths 3.5112, 3.5112, 11.4962 Å; angles 81.22, 81.22, 60.00 degrees
With the nearest neighbours (Å) after each atom.
Positions (direct):
Dy 0.8970 0.8970 0.3089  3 Ga 2.96
Dy 0.1030 0.1030 0.6911  3 Ga 2.96
Nd 0.0000 0.0000 0.0000  2 Dy 3.50, 6 Nd 3.51
Ga 0.5000 0.5000 0.5000  6 Dy 2.96

---

Computed, not measured: a relaxed structure of Nd3Dy2Ga4 at the PBE level of DFT.

Results
DOS at the Fermi energy in states/eV per atom: 0.932
Calculated volume in Å³/cell: 242.7
Symmetry: C2/m
ρ in g/cm3: 7.093
Energy of formation in kJ per mole of atoms: -42.0

Cell lengths 4.4563, 6.6032, 9.3695 Å; angles 109.50, 90.00, 109.72 degrees
With the nearest neighbours (Å) after each atom.
Positions (direct):
Dy 0.3143 0.6287 0.6579  4 Ga 2.88-3.08
Ga 0.9304 0.8609 0.5822  1 Ga 2.69, 2 Dy 2.88
Ga 0.0696 0.1391 0.4178  1 Ga 2.69, 2 Dy 2.88
Nd 0.3872 0.7745 0.2997  7 Ga 3.09-3.35
Nd 0.0000 0.0000 0.0000  8 Ga 3.49-3.70
Ga 0.2721 0.5443 0.9421  2 Ga 2.62, 1 Dy 2.89
Dy 0.6857 0.3713 0.3421  4 Ga 2.88-3.08
Nd 0.6128 0.2255 0.7003  7 Ga 3.09-3.35
Ga 0.7279 0.4557 0.0579  2 Ga 2.62, 1 Dy 2.89

---

Computed, not measured: a relaxed structure of Nd2DyGa at the PBE level of DFT.

Results
DOS at the Fermi energy in states/eV per atom: 1.276
Calculated volume in Å³/cell: 238.2
Symmetry: P2_1/m
ρ in g/cm3: 7.261
Energy of formation in kJ per mole of atoms: -24.7

Cell lengths 3.7048, 6.6992, 9.9843 Å; angles 90.00, 90.00, 106.04 degrees
With the nearest neighbours (Å) after each atom.
Positions (direct):
Dy 0.0574 0.1134 0.7500  2 Ga 3.02
Ga 0.7434 0.4839 0.7500  2 Dy 3.02, 6 Nd 3.16-3.28
Nd 0.3644 0.7289 0.9517  3 Ga 3.16-3.28
Nd 0.3644 0.7289 0.5483  3 Ga 3.16-3.28
Nd 0.6356 0.2711 0.0483  3 Ga 3.16-3.28
Dy 0.9426 0.8866 0.2500  2 Ga 3.02
Ga 0.2566 0.5161 0.2500  2 Dy 3.02, 6 Nd 3.16-3.28
Nd 0.6356 0.2711 0.4517  3 Ga 3.16-3.28

---

Computed, not measured: a relaxed structure of NdDyGa2 at the PBE level of DFT.

Results
DOS at the Fermi energy in states/eV per atom: 0.883
Calculated volume in Å³/cell: 101.2
Symmetry: Pm
ρ in g/cm3: 7.319
Energy of formation in kJ per mole of atoms: -58.2

Cell lengths 4.4216, 4.1142, 5.9867 Å; angles 90.00, 111.64, 90.00 degrees
With the nearest neighbours (Å) after each atom.
Positions (direct):
Nd 0.4419 0.5000 0.4213  7 Ga 3.12-3.29
Ga 0.1579 0.5000 0.8570  2 Ga 2.64
Dy 0.7192 0.0000 0.9790  7 Ga 3.09-3.24
Ga 0.0119 0.0000 0.5608  2 Ga 2.64

---

Computed, not measured: a relaxed structure of Nd3DyGa2 at the PBE level of DFT.

Results
DOS at the Fermi energy in states/eV per atom: 0.967
Calculated volume in Å³/cell: 342.0
Symmetry: C2/m
ρ in g/cm3: 7.134
Energy of formation in kJ per mole of atoms: -32.2

Cell lengths 4.5724, 10.1806, 9.3079 Å; angles 124.85, 90.00, 102.98 degrees
With the nearest neighbours (Å) after each atom.
Positions (direct):
Dy 0.1166 0.2331 0.0938  4 Ga 3.01-3.33
Nd 0.6510 0.3020 0.8241  4 Ga 3.11-3.20
Ga 0.7661 0.5321 0.2482  5 Nd 3.02-3.23, 2 Dy 3.33
Dy 0.8834 0.7669 0.9062  4 Ga 3.01-3.33
Nd 0.9560 0.9120 0.6000  3 Ga 3.09-3.23, 3 Nd 3.21-3.42
Ga 0.2339 0.4679 0.7518  5 Nd 3.02-3.23, 2 Dy 3.33
Ga 0.5059 0.0118 0.8692  1 Ga 2.58
Nd 0.3490 0.6980 0.1759  4 Ga 3.11-3.20
Nd 0.0440 0.0880 0.4000  3 Ga 3.09-3.23, 3 Nd 3.21-3.42
Nd 0.6791 0.3582 0.4277  2 Ga 3.02-3.04, 2 Nd 3.24
Ga 0.4941 0.9882 0.1308  1 Ga 2.58
Nd 0.3209 0.6418 0.5723  2 Ga 3.02-3.04, 2 Nd 3.24

---

Computed, not measured: a relaxed structure of Nd4DyGa2 at the PBE level of DFT.

Results
DOS at the Fermi energy in states/eV per atom: 1.673
Calculated volume in Å³/cell: 226.4
Symmetry: R-3m
ρ in g/cm3: 6.448
Energy of formation in kJ per mole of atoms: -8.6

Cell lengths 5.0714, 5.0714, 10.5760 Å; angles 76.13, 76.13, 60.00 degrees
With the nearest neighbours (Å) after each atom.
Positions (direct):
Nd 0.1045 0.1045 0.6866  3 Ga 3.13, 3 Dy 3.49
Nd 0.7018 0.7018 0.8947  4 Ga 3.10-3.16
Ga 0.4018 0.4018 0.7946  1 Dy 2.99, 7 Nd 3.10-3.16
Nd 0.2982 0.2982 0.1053  4 Ga 3.10-3.16
Dy 0.5000 0.5000 0.5000  2 Ga 2.99
Ga 0.5982 0.5982 0.2054  1 Dy 2.99, 7 Nd 3.10-3.16
Nd 0.8955 0.8955 0.3134  3 Ga 3.13, 3 Dy 3.49

---

Computed, not measured: a relaxed structure of NdDyGa2 at the PBE level of DFT.

Results
DOS at the Fermi energy in states/eV per atom: 0.570
Calculated volume in Å³/cell: 105.9
Symmetry: R-3m
ρ in g/cm3: 6.996
Energy of formation in kJ per mole of atoms: -37.8

Cell lengths 3.7306, 3.7306, 9.0465 Å; angles 78.10, 78.10, 60.00 degrees
With the nearest neighbours (Å) after each atom.
Positions (direct):
Dy 0.0000 0.0000 0.0000  6 Ga 3.03
Ga 0.7475 0.7475 0.7575  3 Dy 3.03, 3 Nd 3.12
Ga 0.2525 0.2525 0.2425  3 Dy 3.03, 3 Nd 3.12
Nd 0.5000 0.5000 0.5000  6 Ga 3.12

---

Computed, not measured: a relaxed structure of NdDy2Ga at the PBE level of DFT.

Results
DOS at the Fermi energy in states/eV per atom: 1.326
Calculated volume in Å³/cell: 234.4
Symmetry: Cmcm
ρ in g/cm3: 7.635
Energy of formation in kJ per mole of atoms: -23.6

Cell lengths 4.2888, 6.4437, 8.9947 Å; angles 90.00, 90.00, 109.42 degrees
With the nearest neighbours (Å) after each atom.
Positions (direct):
Nd 0.9405 0.8811 0.2500  2 Ga 3.16
Dy 0.6451 0.2902 0.0554  3 Ga 3.03-3.05
Ga 0.2495 0.4991 0.2500  6 Dy 3.03-3.05, 2 Nd 3.16
Dy 0.3549 0.7098 0.9446  3 Ga 3.03-3.05
Nd 0.0595 0.1189 0.7500  2 Ga 3.16
Ga 0.7505 0.5009 0.7500  6 Dy 3.03-3.05, 2 Nd 3.16
Dy 0.3549 0.7098 0.5554  3 Ga 3.03-3.05
Dy 0.6451 0.2902 0.4446  3 Ga 3.03-3.05

---

Computed, not measured: a relaxed structure of NdDy2Ga4 at the PBE level of DFT.

Results
DOS at the Fermi energy in states/eV per atom: 0.648
Calculated volume in Å³/cell: 164.9
Symmetry: Immm
ρ in g/cm3: 7.534
Energy of formation in kJ per mole of atoms: -63.1

Cell lengths 4.1650, 4.3243, 9.6347 Å; angles 102.97, 102.48, 90.00 degrees
With the nearest neighbours (Å) after each atom.
Positions (direct):
Nd 0.5000 0.0000 0.0000  12 Ga 3.25-3.46
Ga 0.3522 0.3522 0.7045  2 Ga 2.55
Dy 0.8153 0.8153 0.6306  7 Ga 3.04-3.08
Ga 0.9323 0.4323 0.8646  3 Ga 2.48-2.55
Dy 0.1847 0.1847 0.3694  7 Ga 3.04-3.08
Ga 0.6478 0.6478 0.2955  2 Ga 2.55
Ga 0.0677 0.5677 0.1354  3 Ga 2.48-2.55

---

Computed, not measured: a relaxed structure of NdDyGa at the PBE level of DFT.

Results
DOS at the Fermi energy in states/eV per atom: 0.439
Calculated volume in Å³/cell: 82.2
Symmetry: P3m1
ρ in g/cm3: 7.606
Energy of formation in kJ per mole of atoms: -26.4

Cell lengths 3.7692, 5.0180, 5.0180 Å; angles 120.00, 90.00, 90.00 degrees
With the nearest neighbours (Å) after each atom.
Positions (direct):
Ga 0.2855 0.3333 0.6667  3 Dy 2.99, 3 Nd 3.17
Dy 0.0861 0.0000 0.0000  3 Ga 2.99
Nd 0.6284 0.6667 0.3333  3 Ga 3.17, 6 Dy 3.37-3.55

---

Computed, not measured: a relaxed structure of Nd5DyGa6 at the PBE level of DFT.

Results
DOS at the Fermi energy in states/eV per atom: 0.394
Calculated volume in Å³/cell: 297.7
Symmetry: P-1
ρ in g/cm3: 7.263
Energy of formation in kJ per mole of atoms: -53.8

Cell lengths 5.1984, 8.9953, 9.0190 Å; angles 59.95, 73.03, 54.64 degrees
With the nearest neighbours (Å) after each atom.
Positions (direct):
Nd 0.0000 0.3359 0.3281  8 Ga 3.21-3.23
Nd 0.5000 0.1715 0.6569  8 Ga 3.15-3.19
Nd 0.5000 0.5000 0.0000  8 Ga 3.17-3.24
Nd 0.0000 0.6641 0.6719  8 Ga 3.21-3.23
Ga 0.2641 0.2362 0.0000  2 Dy 3.12-3.13, 6 Nd 3.19-3.24, 1 Ga 3.47
Ga 0.7359 0.7638 0.0000  2 Dy 3.12-3.13, 6 Nd 3.19-3.24, 1 Ga 3.47
Ga 0.7572 0.4062 0.6731  1 Dy 3.11, 7 Nd 3.15-3.23
Ga 0.2428 0.9205 0.6733  1 Dy 3.11, 7 Nd 3.15-3.23
Nd 0.5000 0.8285 0.3431  8 Ga 3.15-3.19
Dy 0.0000 0.0000 0.0000  8 Ga 3.11-3.13
Ga 0.2428 0.5938 0.3269  1 Dy 3.11, 7 Nd 3.15-3.23
Ga 0.7572 0.0795 0.3267  1 Dy 3.11, 7 Nd 3.15-3.23

---

Computed, not measured: a relaxed structure of NdDyGa2 at the PBE level of DFT.

Results
DOS at the Fermi energy in states/eV per atom: 0.411
Calculated volume in Å³/cell: 95.8
Symmetry: P4/mmm
ρ in g/cm3: 7.730
Energy of formation in kJ per mole of atoms: -55.7

Cell lengths 3.6363, 3.6363, 7.2487 Å; angles 90.00, 90.00, 90.00 degrees
With the nearest neighbours (Å) after each atom.
Positions (direct):
Ga 0.0000 0.0000 0.2356  4 Dy 3.09, 4 Nd 3.21, 1 Ga 3.42
Dy 0.5000 0.5000 0.0000  8 Ga 3.09
Nd 0.5000 0.5000 0.5000  8 Ga 3.21
Ga 0.0000 0.0000 0.7644  4 Dy 3.09, 4 Nd 3.21, 1 Ga 3.42

---

Computed, not measured: a relaxed structure of NdDyGa at the PBE level of DFT.

Results
DOS at the Fermi energy in states/eV per atom: 1.184
Calculated volume in Å³/cell: 248.2
Symmetry: P-62m
ρ in g/cm3: 7.556
Energy of formation in kJ per mole of atoms: -38.9

Cell lengths 4.4882, 7.9907, 7.9907 Å; angles 120.00, 90.00, 90.00 degrees
With the nearest neighbours (Å) after each atom.
Positions (direct):
Nd 0.5000 0.5999 0.0000  5 Ga 3.20-3.32, 2 Dy 3.48
Ga 0.5000 0.0000 0.0000  6 Dy 3.09, 3 Nd 3.20
Nd 0.5000 0.0000 0.6000  5 Ga 3.20-3.32, 2 Dy 3.48
Dy 0.0000 0.7335 0.7335  4 Ga 2.97-3.09
Dy 0.0000 0.2665 0.0000  4 Ga 2.97-3.09
Ga 0.0000 0.3333 0.6667  3 Dy 2.97, 6 Nd 3.32
Ga 0.0000 0.6667 0.3333  3 Dy 2.97, 6 Nd 3.32
Dy 0.0000 0.0000 0.2665  4 Ga 2.97-3.09
Nd 0.5000 0.4000 0.4000  5 Ga 3.20-3.32, 2 Dy 3.48

---

Computed, not measured: a relaxed structure of NdDy2Ga6 at the PBE level of DFT.

Results
DOS at the Fermi energy in states/eV per atom: 0.638
Calculated volume in Å³/cell: 194.5
Symmetry: P6/mmm
ρ in g/cm3: 7.577
Energy of formation in kJ per mole of atoms: -62.7

Cell lengths 4.1824, 7.3282, 7.3282 Å; angles 120.00, 90.00, 90.00 degrees
With the nearest neighbours (Å) after each atom.
Positions (direct):
Ga 0.5000 0.3346 0.3346  3 Ga 2.42-2.45
Ga 0.5000 0.6654 0.0000  3 Ga 2.42-2.45
Nd 0.0000 0.0000 0.0000  12 Ga 3.22
Dy 0.0000 0.6667 0.3333  12 Ga 3.21
Ga 0.5000 0.6654 0.6654  3 Ga 2.42-2.45
Dy 0.0000 0.3333 0.6667  12 Ga 3.21
Ga 0.5000 0.3346 0.0000  3 Ga 2.42-2.45
Ga 0.5000 0.0000 0.6654  3 Ga 2.42-2.45
Ga 0.5000 0.0000 0.3346  3 Ga 2.42-2.45

---

Computed, not measured: a relaxed structure of NdDy3Ga2 at the PBE level of DFT.

Results
DOS at the Fermi energy in states/eV per atom: 0.952
Calculated volume in Å³/cell: 316.2
Symmetry: Pmc2_1
ρ in g/cm3: 8.101
Energy of formation in kJ per mole of atoms: -39.9

Cell lengths 4.9785, 6.6265, 9.5837 Å; angles 90.00, 90.00, 90.00 degrees
With the nearest neighbours (Å) after each atom.
Positions (direct):
Nd 0.5000 0.0394 0.4502  3 Ga 3.13-3.20, 2 Dy 3.40, 2 Nd 3.45
Dy 0.0000 0.4645 0.9464  3 Ga 3.08-3.14, 2 Dy 3.37
Ga 0.5000 0.7103 0.8621  6 Dy 3.00-3.11, 1 Nd 3.20
Nd 0.5000 0.5394 0.5498  3 Ga 3.13-3.20, 2 Dy 3.40, 2 Nd 3.45
Dy 0.0000 0.8293 0.6850  4 Ga 3.06-3.16, 2 Nd 3.40
Dy 0.5000 0.1698 0.8257  4 Ga 3.00-3.14
Ga 0.5000 0.2103 0.1379  6 Dy 3.00-3.11, 1 Nd 3.20
Ga 0.0000 0.2867 0.6431  5 Dy 3.06-3.16, 2 Nd 3.13
Dy 0.0000 0.9645 0.0536  3 Ga 3.08-3.14, 2 Dy 3.37
Ga 0.0000 0.7867 0.3569  5 Dy 3.06-3.16, 2 Nd 3.13
Dy 0.5000 0.6698 0.1743  4 Ga 3.00-3.14
Dy 0.0000 0.3293 0.3150  4 Ga 3.06-3.16, 2 Nd 3.40

---

Computed, not measured: a relaxed structure of NdDy2Ga6 at the PBE level of DFT.

Results
DOS at the Fermi energy in states/eV per atom: 0.456
Calculated volume in Å³/cell: 204.4
Symmetry: Immm
ρ in g/cm3: 7.210
Energy of formation in kJ per mole of atoms: -46.8

Cell lengths 4.3470, 7.1155, 7.8142 Å; angles 117.08, 106.15, 90.00 degrees
With the nearest neighbours (Å) after each atom.
Positions (direct):
Ga 0.3158 0.1215 0.6316  4 Ga 2.59-2.89, 1 Dy 2.86
Ga 0.6842 0.4899 0.3684  4 Ga 2.59-2.89, 1 Dy 2.86
Ga 0.3158 0.5101 0.6316  4 Ga 2.59-2.89, 1 Dy 2.86
Dy 0.1268 0.1268 0.2536  10 Ga 2.86-3.17
Ga 0.5000 0.1830 0.0000  3 Ga 2.59-2.60
Nd 0.0000 0.5000 0.0000  4 Ga 3.13
Ga 0.6842 0.8785 0.3684  4 Ga 2.59-2.89, 1 Dy 2.86
Dy 0.8732 0.8732 0.7464  10 Ga 2.86-3.17
Ga 0.5000 0.8170 0.0000  3 Ga 2.59-2.60